Here is a relaxed Cu2Ag3 crystal from the Open Quantum Materials Database. Energies are from GGA-PBE.

Cell lengths 4.8505, 4.8650, 7.3607 Å; angles 107.68, 103.12, 99.88 degrees
Element x y z (fractional)
Ag1 0.1114 0.1894 0.7110
Ag2 0.5890 0.1974 0.1810
Ag3 0.5180 0.0077 0.5135
Ag4 0.8944 0.7993 0.2951
Ag5 0.2056 0.4083 0.4099
Ag6 0.2807 0.6022 0.0888
Cu1 0.8139 0.6053 0.6223
Cu2 0.4147 0.7950 0.8009
Cu3 0.9730 0.9828 0.9832
Cu4 0.6992 0.4126 0.8944

Output
calculated density	9.6	g cm⁻³
energy above the lowest structure with this stoichiometry	58	meV per atom
ΔH_f (0 K)	90	meV/atom



Here is a relaxed YNb2Sn crystal from the Open Quantum Materials Database. Energies are from GGA-PBE.

Cell lengths 4.9373, 4.9373, 4.9373 Å; angles 60.00, 60.00, 60.00 degrees
Element x y z (fractional)
Sn1 0.5000 0.5000 0.5000
Y1 0.2500 0.2500 0.2500
Nb1 0.7500 0.7500 0.7500
Nb2 0.0000 0.0000 0.0000

Output
calculated density	7.7	g cm⁻³
DFT total energy	-7.68	eV/atom
magnetic moment	0.00	Bohr magnetons per cell